HfAl2Pd2: optimized geometry, GGA-PBE.

Output
* D(E_F): 3.13 states/eV/f.u.
* offset from the most stable computed form: 0.036 eV per atom
* symmetry: P4/mbm
* spin magnetization: 0.000 μB per atom
* volume: 161.6 Å³ per cell

Cell: 7.5849 7.5849 2.8093 Å, 90.00 90.00 90.00°
Last column: nearest neighbours and their distance in Å.
Sites, in units of the cell vectors:
Hf1 0.0000 0.0000 0.0000  2 Hf 2.81, 4 Al 2.98
Hf2 0.5000 0.5000 0.0000  2 Hf 2.81, 4 Al 2.98
Al1 0.1289 0.3711 0.0000  6 Pd 2.60-2.66, 3 Al 2.77-2.81
Al2 0.3711 0.8711 0.0000  6 Pd 2.60-2.66, 3 Al 2.77-2.81
Al3 0.6289 0.1289 0.0000  6 Pd 2.60-2.66, 3 Al 2.77-2.81
Al4 0.8711 0.6289 0.0000  6 Pd 2.60-2.66, 3 Al 2.77-2.81
Pd1 0.1667 0.6667 0.5000  6 Al 2.60-2.66, 2 Pd 2.81
Pd2 0.3333 0.1667 0.5000  6 Al 2.60-2.66, 2 Pd 2.81
Pd3 0.6667 0.8333 0.5000  6 Al 2.60-2.66, 2 Pd 2.81
Pd4 0.8333 0.3333 0.5000  6 Al 2.60-2.66, 2 Pd 2.81